Entry A
{"formula": "K4AsBr", "functional": "GGA-PBE", "state": "optimized geometry", "cell": [[0.000, 4.802, 4.802], [4.802, 0.000, 4.802], [4.802, 4.802, 0.000]], "species": ["K", "K", "K", "K", "As", "Br"], "frac_coords": [[0.125, 0.125, 0.125], [0.125, 0.125, 0.625], [0.125, 0.625, 0.125], [0.625, 0.125, 0.125], [0.750, 0.750, 0.750], [0.500, 0.500, 0.500]], "spacegroup": "F-43m (216)", "total_magnetization_mub_per_fu": 0.16}

---

Entry B
{"formula": "K4AsBr", "functional": "GGA-PBE", "state": "optimized geometry", "cell": [[5.625, -7.973, 0.000], [5.625, 7.973, 0.000], [-5.623, 0.000, 5.629]], "species": ["K", "K", "K", "K", "K", "K", "K", "K", "As", "As", "Br", "Br"], "frac_coords": [[0.002, 0.501, 0.772], [0.229, 0.229, 0.229], [0.229, 0.229, 0.729], [0.499, 0.998, 0.728], [0.501, 0.002, 0.272], [0.771, 0.771, 0.271], [0.771, 0.771, 0.771], [0.998, 0.499, 0.228], [0.125, 0.875, 0.250], [0.875, 0.125, 0.750], [0.375, 0.625, 0.750], [0.625, 0.375, 0.250]], "spacegroup": "C2/c (15)", "total_magnetization_mub_per_fu": 0.00}

---

In kJ/mol of atoms, relative to the most stable structure: entry A 66.7; entry B 0.0.

---

Entry A
{"formula": "K3AsBr6", "functional": "GGA-PBE", "state": "optimized geometry", "cell": [[0.000, 5.764, 5.764], [5.764, 0.000, 5.764], [5.764, 5.764, 0.000]], "species": ["K", "K", "K", "As", "Br", "Br", "Br", "Br", "Br", "Br"], "frac_coords": [[0.000, 0.000, 0.000], [0.250, 0.250, 0.250], [0.750, 0.750, 0.750], [0.500, 0.500, 0.500], [0.270, 0.270, 0.730], [0.270, 0.730, 0.270], [0.270, 0.730, 0.730], [0.730, 0.270, 0.270], [0.730, 0.270, 0.730], [0.730, 0.730, 0.270]], "spacegroup": "Fm-3m (225)", "total_magnetization_mub_per_fu": 0.00}

---

Entry B
{"formula": "K3AsBr6", "functional": "GGA-PBE", "state": "optimized geometry", "cell": [[7.763, 0.000, 0.000], [0.000, 8.272, 0.000], [-7.725, 0.000, 11.186]], "species": ["K", "K", "K", "K", "K", "K", "As", "As", "Br", "Br", "Br", "Br", "Br", "Br", "Br", "Br", "Br", "Br", "Br", "Br"], "frac_coords": [[0.000, 0.000, 0.000], [0.000, 0.500, 0.500], [0.219, 0.080, 0.748], [0.219, 0.420, 0.248], [0.781, 0.580, 0.752], [0.781, 0.920, 0.252], [0.500, 0.000, 0.500], [0.500, 0.500, 0.000], [0.164, 0.173, 0.445], [0.164, 0.327, 0.945], [0.269, 0.727, 0.430], [0.269, 0.773, 0.930], [0.400, 0.046, 0.278], [0.400, 0.454, 0.778], [0.600, 0.546, 0.222], [0.600, 0.954, 0.722], [0.731, 0.227, 0.070], [0.731, 0.273, 0.570], [0.836, 0.673, 0.055], [0.836, 0.827, 0.555]], "spacegroup": "P2_1/c (14)", "total_magnetization_mub_per_fu": 0.00}

---

In kJ/mol of atoms, relative to the most stable structure: entry A 6.3; entry B 0.0.

---

Entry A
{"formula": "KAsBr", "functional": "GGA-PBE", "state": "optimized geometry", "cell": [[7.954, 0.000, 0.000], [0.000, 7.954, 0.000], [0.000, 0.000, 7.954]], "species": ["K", "K", "K", "K", "As", "As", "As", "As", "Br", "Br", "Br", "Br"], "frac_coords": [[0.000, 0.000, 0.000], [0.000, 0.500, 0.500], [0.500, 0.000, 0.500], [0.500, 0.500, 0.000], [0.000, 0.000, 0.500], [0.000, 0.500, 0.000], [0.500, 0.000, 0.000], [0.500, 0.500, 0.500], [0.250, 0.250, 0.750], [0.250, 0.750, 0.250], [0.750, 0.250, 0.250], [0.750, 0.750, 0.750]], "spacegroup": "F-43m (216)", "total_magnetization_mub_per_fu": 3.00}

---

Entry B
{"formula": "KAsBr", "functional": "GGA-PBE", "state": "optimized geometry", "cell": [[3.627, 0.000, 0.000], [0.000, 3.627, 0.000], [0.000, 0.000, 13.297]], "species": ["K", "K", "As", "As", "Br", "Br"], "frac_coords": [[0.000, 0.000, 0.000], [0.500, 0.500, 0.500], [0.000, 0.000, 0.307], [0.500, 0.500, 0.807], [0.000, 0.000, 0.643], [0.500, 0.500, 0.143]], "spacegroup": "I4mm (107)", "total_magnetization_mub_per_fu": 0.63}

---

Entry C
{"formula": "KAsBr", "functional": "GGA-PBE", "state": "optimized geometry", "cell": [[5.292, 0.000, 0.000], [-2.646, 4.583, 0.000], [0.000, 0.000, 3.613]], "species": ["K", "As", "Br"], "frac_coords": [[0.000, 0.000, 0.000], [0.667, 0.333, 0.500], [0.333, 0.667, 0.500]], "spacegroup": "P-6m2 (187)", "total_magnetization_mub_per_fu": 0.33}

---

Entry D
{"formula": "KAsBr", "functional": "GGA-PBE", "state": "optimized geometry", "cell": [[3.815, 0.000, 0.000], [-1.908, 3.304, 0.000], [0.000, 0.000, 7.366]], "species": ["K", "As", "Br"], "frac_coords": [[0.000, 0.000, 0.000], [0.667, 0.333, 0.380], [0.333, 0.667, 0.698]], "spacegroup": "P3m1 (156)", "total_magnetization_mub_per_fu": 0.85}

---

In kJ/mol of atoms, relative to the most stable structure: entry A 8.0; entry B 7.3; entry C 0.0; entry D 17.7.

---

Entry A
{"formula": "KLiAsBr2", "functional": "GGA-PBE", "state": "optimized geometry", "cell": [[5.397, 0.000, 0.000], [0.000, 5.397, 0.000], [0.000, 0.000, 5.271]], "species": ["K", "Li", "As", "Br", "Br"], "frac_coords": [[0.000, 0.000, 0.000], [0.500, 0.500, 0.500], [0.500, 0.500, 0.000], [0.000, 0.500, 0.500], [0.500, 0.000, 0.500]], "spacegroup": "P4/mmm (123)", "total_magnetization_mub_per_fu": 2.99}

---

Entry B
{"formula": "KLiAsBr2", "functional": "GGA-PBE", "state": "optimized geometry", "cell": [[6.188, 0.000, 0.000], [0.000, 6.188, 0.000], [0.000, 0.000, 6.147]], "species": ["K", "Li", "As", "Br", "Br"], "frac_coords": [[0.000, 0.000, 0.000], [0.500, 0.500, 0.500], [0.000, 0.000, 0.500], [0.000, 0.500, 0.000], [0.500, 0.000, 0.000]], "spacegroup": "P4/mmm (123)", "total_magnetization_mub_per_fu": 3.07}

---

In kJ/mol of atoms, relative to the most stable structure: entry A 0.0; entry B 44.0.

---

Entry A
{"formula": "KLiAs2Br", "functional": "GGA-PBE", "state": "optimized geometry", "cell": [[6.308, 0.000, 0.000], [0.000, 6.308, 0.000], [0.000, 0.000, 6.036]], "species": ["K", "Li", "As", "As", "Br"], "frac_coords": [[0.000, 0.000, 0.000], [0.500, 0.500, 0.500], [0.000, 0.500, 0.000], [0.500, 0.000, 0.000], [0.000, 0.000, 0.500]], "spacegroup": "P4/mmm (123)", "total_magnetization_mub_per_fu": 5.01}

---

Entry B
{"formula": "KLiAs2Br", "functional": "GGA-PBE", "state": "optimized geometry", "cell": [[4.559, 0.000, 0.000], [0.000, 4.559, 0.000], [0.000, 0.000, 6.731]], "species": ["K", "Li", "As", "As", "Br"], "frac_coords": [[0.000, 0.000, 0.000], [0.500, 0.500, 0.500], [0.000, 0.500, 0.500], [0.500, 0.000, 0.500], [0.500, 0.500, 0.000]], "spacegroup": "P4/mmm (123)", "total_magnetization_mub_per_fu": 0.00}

---

In kJ/mol of atoms, relative to the most stable structure: entry A 75.0; entry B 0.0.

---

Entry A
{"formula": "KMgAsBr2", "functional": "GGA-PBE", "state": "optimized geometry", "cell": [[5.547, 0.000, 0.000], [0.000, 5.547, 0.000], [0.000, 0.000, 5.275]], "species": ["K", "Mg", "As", "Br", "Br"], "frac_coords": [[0.000, 0.000, 0.000], [0.500, 0.500, 0.500], [0.500, 0.500, 0.000], [0.000, 0.500, 0.500], [0.500, 0.000, 0.500]], "spacegroup": "P4/mmm (123)", "total_magnetization_mub_per_fu": 2.01}

---

Entry B
{"formula": "KMgAsBr2", "functional": "GGA-PBE", "state": "optimized geometry", "cell": [[5.975, 0.000, 0.000], [0.000, 5.975, 0.000], [0.000, 0.000, 6.111]], "species": ["K", "Mg", "As", "Br", "Br"], "frac_coords": [[0.000, 0.000, 0.000], [0.500, 0.500, 0.500], [0.000, 0.000, 0.500], [0.000, 0.500, 0.000], [0.500, 0.000, 0.000]], "spacegroup": "P4/mmm (123)", "total_magnetization_mub_per_fu": 2.02}

---

In kJ/mol of atoms, relative to the most stable structure: entry A 0.0; entry B 89.0.

---

Entry A
{"formula": "KAsBr2N", "functional": "GGA-PBE", "state": "optimized geometry", "cell": [[6.306, 0.000, 0.000], [0.000, 6.306, 0.000], [0.000, 0.000, 7.442]], "species": ["K", "As", "Br", "Br", "N"], "frac_coords": [[0.000, 0.000, 0.000], [0.000, 0.000, 0.500], [0.000, 0.500, 0.000], [0.500, 0.000, 0.000], [0.500, 0.500, 0.500]], "spacegroup": "P4/mmm (123)", "total_magnetization_mub_per_fu": 6.67}

---

Entry B
{"formula": "KAsBr2N", "functional": "GGA-PBE", "state": "optimized geometry", "cell": [[6.131, 0.000, 0.000], [0.000, 6.131, 0.000], [0.000, 0.000, 3.702]], "species": ["K", "As", "Br", "Br", "N"], "frac_coords": [[0.000, 0.000, 0.000], [0.500, 0.500, 0.000], [0.000, 0.500, 0.500], [0.500, 0.000, 0.500], [0.500, 0.500, 0.500]], "spacegroup": "P4/mmm (123)", "total_magnetization_mub_per_fu": 0.00}

---

In kJ/mol of atoms, relative to the most stable structure: entry A 103.1; entry B 0.0.

---

Entry A
{"formula": "KNaAs2Br", "functional": "GGA-PBE", "state": "optimized geometry", "cell": [[5.279, 0.000, 0.000], [0.000, 5.279, 0.000], [0.000, 0.000, 6.006]], "species": ["K", "Na", "As", "As", "Br"], "frac_coords": [[0.000, 0.000, 0.000], [0.500, 0.500, 0.500], [0.000, 0.500, 0.500], [0.500, 0.000, 0.500], [0.500, 0.500, 0.000]], "spacegroup": "P4/mmm (123)", "total_magnetization_mub_per_fu": 2.19}

---

Entry B
{"formula": "KNaAs2Br", "functional": "GGA-PBE", "state": "optimized geometry", "cell": [[6.329, 0.000, 0.000], [0.000, 6.329, 0.000], [0.000, 0.000, 6.069]], "species": ["K", "Na", "As", "As", "Br"], "frac_coords": [[0.000, 0.000, 0.000], [0.500, 0.500, 0.500], [0.000, 0.500, 0.000], [0.500, 0.000, 0.000], [0.000, 0.000, 0.500]], "spacegroup": "P4/mmm (123)", "total_magnetization_mub_per_fu": 5.01}

---

In kJ/mol of atoms, relative to the most stable structure: entry A 0.0; entry B 34.2.

---

Entry A
{"formula": "KNbAs2Br", "functional": "GGA-PBE", "state": "optimized geometry", "cell": [[5.359, 0.000, 0.000], [0.000, 5.359, 0.000], [0.000, 0.000, 5.466]], "species": ["K", "Nb", "As", "As", "Br"], "frac_coords": [[0.000, 0.000, 0.000], [0.500, 0.500, 0.500], [0.000, 0.500, 0.000], [0.500, 0.000, 0.000], [0.000, 0.000, 0.500]], "spacegroup": "P4/mmm (123)", "total_magnetization_mub_per_fu": 1.40}

---

Entry B
{"formula": "KNbAs2Br", "functional": "GGA-PBE", "state": "optimized geometry", "cell": [[5.001, 0.000, 0.000], [0.000, 5.001, 0.000], [0.000, 0.000, 5.682]], "species": ["K", "Nb", "As", "As", "Br"], "frac_coords": [[0.000, 0.000, 0.000], [0.500, 0.500, 0.500], [0.000, 0.500, 0.500], [0.500, 0.000, 0.500], [0.500, 0.500, 0.000]], "spacegroup": "P4/mmm (123)", "total_magnetization_mub_per_fu": 0.00}

---

In kJ/mol of atoms, relative to the most stable structure: entry A 187.8; entry B 0.0.

---

Entry A
{"formula": "KAsOsBr2", "functional": "GGA-PBE", "state": "optimized geometry", "cell": [[6.043, 0.000, 0.000], [0.000, 6.043, 0.000], [0.000, 0.000, 6.081]], "species": ["K", "As", "Os", "Br", "Br"], "frac_coords": [[0.000, 0.000, 0.000], [0.000, 0.000, 0.500], [0.500, 0.500, 0.500], [0.000, 0.500, 0.000], [0.500, 0.000, 0.000]], "spacegroup": "P4/mmm (123)", "total_magnetization_mub_per_fu": 7.69}

---

Entry B
{"formula": "KAsOsBr2", "functional": "GGA-PBE", "state": "optimized geometry", "cell": [[5.468, 0.000, 0.000], [0.000, 5.468, 0.000], [0.000, 0.000, 4.649]], "species": ["K", "As", "Os", "Br", "Br"], "frac_coords": [[0.000, 0.000, 0.000], [0.500, 0.500, 0.000], [0.500, 0.500, 0.500], [0.000, 0.500, 0.500], [0.500, 0.000, 0.500]], "spacegroup": "P4/mmm (123)", "total_magnetization_mub_per_fu": 0.04}

---

In kJ/mol of atoms, relative to the most stable structure: entry A 169.4; entry B 0.0.

---

Entry A
{"formula": "KAsPBr2", "functional": "GGA-PBE", "state": "optimized geometry", "cell": [[5.697, 0.000, 0.000], [0.000, 5.697, 0.000], [0.000, 0.000, 4.613]], "species": ["K", "As", "P", "Br", "Br"], "frac_coords": [[0.000, 0.000, 0.000], [0.500, 0.500, 0.000], [0.500, 0.500, 0.500], [0.000, 0.500, 0.500], [0.500, 0.000, 0.500]], "spacegroup": "P4/mmm (123)", "total_magnetization_mub_per_fu": 0.00}

---

Entry B
{"formula": "KAsPBr2", "functional": "GGA-PBE", "state": "optimized geometry", "cell": [[6.247, 0.000, 0.000], [0.000, 6.247, 0.000], [0.000, 0.000, 7.005]], "species": ["K", "As", "P", "Br", "Br"], "frac_coords": [[0.000, 0.000, 0.000], [0.000, 0.000, 0.500], [0.500, 0.500, 0.500], [0.000, 0.500, 0.000], [0.500, 0.000, 0.000]], "spacegroup": "P4/mmm (123)", "total_magnetization_mub_per_fu": 6.28}

---

In kJ/mol of atoms, relative to the most stable structure: entry A 0.0; entry B 108.6.

---

Entry A
{"formula": "KAs2PbBr", "functional": "GGA-PBE", "state": "optimized geometry", "cell": [[5.618, 0.000, 0.000], [0.000, 5.618, 0.000], [0.000, 0.000, 5.692]], "species": ["K", "As", "As", "Pb", "Br"], "frac_coords": [[0.000, 0.000, 0.000], [0.000, 0.500, 0.000], [0.500, 0.000, 0.000], [0.500, 0.500, 0.500], [0.000, 0.000, 0.500]], "spacegroup": "P4/mmm (123)", "total_magnetization_mub_per_fu": 1.84}

---

Entry B
{"formula": "KAs2PbBr", "functional": "GGA-PBE", "state": "optimized geometry", "cell": [[5.495, 0.000, 0.000], [0.000, 5.495, 0.000], [0.000, 0.000, 6.241]], "species": ["K", "As", "As", "Pb", "Br"], "frac_coords": [[0.000, 0.000, 0.000], [0.000, 0.500, 0.500], [0.500, 0.000, 0.500], [0.500, 0.500, 0.500], [0.500, 0.500, 0.000]], "spacegroup": "P4/mmm (123)", "total_magnetization_mub_per_fu": 1.49}

---

In kJ/mol of atoms, relative to the most stable structure: entry A 67.9; entry B 0.0.

---

Entry A
{"formula": "KAsPdBr2", "functional": "GGA-PBE", "state": "optimized geometry", "cell": [[5.596, 0.000, 0.000], [0.000, 5.596, 0.000], [0.000, 0.000, 4.707]], "species": ["K", "As", "Pd", "Br", "Br"], "frac_coords": [[0.000, 0.000, 0.000], [0.500, 0.500, 0.000], [0.500, 0.500, 0.500], [0.000, 0.500, 0.500], [0.500, 0.000, 0.500]], "spacegroup": "P4/mmm (123)", "total_magnetization_mub_per_fu": 0.65}

---

Entry B
{"formula": "KAsPdBr2", "functional": "GGA-PBE", "state": "optimized geometry", "cell": [[6.051, 0.000, 0.000], [0.000, 6.051, 0.000], [0.000, 0.000, 6.254]], "species": ["K", "As", "Pd", "Br", "Br"], "frac_coords": [[0.000, 0.000, 0.000], [0.000, 0.000, 0.500], [0.500, 0.500, 0.500], [0.000, 0.500, 0.000], [0.500, 0.000, 0.000]], "spacegroup": "P4/mmm (123)", "total_magnetization_mub_per_fu": 3.77}

---

In kJ/mol of atoms, relative to the most stable structure: entry A 0.0; entry B 111.9.